a:
Material: CeErAg
Method: DFT, PBE
State: optimized geometry

Geometry as CIF:
```
data_CeErAg
_symmetry_space_group_name_H-M 'I 4 m m'
_symmetry_Int_Tables_number 107
_symmetry_space_group_name_Hall 'I 4 -2'
_cell_length_a 3.492
_cell_length_b 3.492
_cell_length_c 13.173
_cell_angle_alpha 90.00
_cell_angle_beta 90.00
_cell_angle_gamma 90.00
loop_
_atom_site_label
_atom_site_fract_x
_atom_site_fract_y
_atom_site_fract_z
_atom_site_occupancy
Ce1 0.000 0.000 0.000 1
Er1 0.000 0.000 0.304 1
Ag1 0.000 0.000 0.665 1
```

Values from the calculation:
crystal system: tetragonal



b:
Material: CeErAg
Method: DFT, PBE
State: optimized geometry

Geometry as CIF:
```
data_CeErAg
_symmetry_space_group_name_H-M 'P 3 m 1'
_symmetry_Int_Tables_number 156
_cell_length_a 5.1058
_cell_length_b 5.1058
_cell_length_c 3.4712
_cell_angle_alpha 90.00
_cell_angle_beta 90.00
_cell_angle_gamma 120.00
loop_
_symmetry_equiv_pos_as_xyz
'x,y,z'
'-y,x-y,z'
'-x+y,-x,z'
'-y,-x,z'
'-x+y,y,z'
'x,x-y,z'
loop_
_atom_site_label
_atom_site_fract_x
_atom_site_fract_y
_atom_site_fract_z
_atom_site_occupancy
Ce1 0.0000 0.0000 0.0000 1
Er1 0.6667 0.3333 0.4262 1
Ag1 0.3333 0.6667 0.6442 1
```

Values from the calculation:
crystal system: trigonal



c:
Material: CeErAg
Method: DFT, PBE
State: optimized geometry

Geometry as CIF:
```
data_CeErAg
_symmetry_space_group_name_H-M 'C m c m'
_symmetry_Int_Tables_number 63
_symmetry_space_group_name_Hall '-C 2c 2'
_cell_length_a 3.458
_cell_length_b 16.964
_cell_length_c 5.220
_cell_angle_alpha 90.00
_cell_angle_beta 90.00
_cell_angle_gamma 90.00
loop_
_atom_site_label
_atom_site_fract_x
_atom_site_fract_y
_atom_site_fract_z
_atom_site_occupancy
Ce1 0.000 0.230 0.250 1
Er1 0.000 0.081 0.750 1
Ag1 0.000 0.430 0.750 1
```

Values from the calculation:
crystal system: orthorhombic



Most stable structure: c